The following is a DFT calculation (GGA-PBE) of a relaxed structure of MnAgAu2.

Computed properties:
As for the electronic total energy: -4.669 eV/atom. The formation energy is -2 kJ per mole of atoms. As for the space group: I-4m2. For the calculated volume, the calculation gives 68.90 Å³ per cell.

abc: 5.0516 5.0516 5.0516
angles: 132.44 132.41 69.56
Sites, in units of the cell vectors:
Au 0.0000 0.0000 0.0000
Au 0.7500 0.2500 0.5000
Mn 0.5000 0.5000 0.0000
Ag 0.2501 0.7501 0.5000